--- a ---
Here is an optimized crystal structure of LaW2Au from Alexandria. Energies are from PBE.

Unit cell a=5.8474 b=5.8474 c=5.2082 alpha=106.77 beta=106.77 gamma=28.41
Fractional positions:
La: 0.0000 0.0000 0.0000
W: 0.2260 0.2260 0.7246
W: 0.7740 0.7740 0.2754
Au: 0.5000 0.5000 0.5000

Output
**Crystal system**: monoclinic

--- b ---
Here is an optimized crystal structure of LaW2Au from Alexandria. Energies are from PBE.

Unit cell a=5.7066 b=5.7066 c=5.7066 alpha=144.86 beta=127.68 gamma=64.59
Fractional positions:
La: 0.0000 0.0000 0.0000
W: 0.2714 0.7714 0.5000
W: 0.4602 0.4602 0.0000
Au: 0.7201 0.2201 0.5000

Output
**Crystal system**: orthorhombic

Stability summary - winner: b; margin: 2.7 kJ/mol of atoms.

--- a ---
Here is an optimized crystal structure of LaW2Au from Alexandria. Energies are from PBE.

Unit cell a=6.2269 b=6.2269 c=6.2269 alpha=153.69 beta=130.28 gamma=57.11
Fractional positions:
La: 0.0000 0.0000 0.0000
W: 0.2711 0.7711 0.5000
W: 0.7289 0.2289 0.5000
Au: 0.5000 0.5000 0.0000

Output
**Crystal system**: orthorhombic

--- b ---
Here is an optimized crystal structure of LaW2Au from Alexandria. Energies are from PBE.

Unit cell a=5.6518 b=5.6518 c=5.6518 alpha=137.20 beta=137.20 gamma=62.13
Fractional positions:
La: 0.0000 0.0000 0.0000
W: 0.2500 0.7500 0.5000
W: 0.7500 0.2500 0.5000
Au: 0.5000 0.5000 0.0000

Output
**Crystal system**: tetragonal

Stability summary - winner: a; margin: 19.2 kJ/mol of atoms.

--- a ---
Here is an optimized crystal structure of LaW2Au from Alexandria. Energies are from PBE.

Unit cell a=10.6168 b=10.6168 c=10.6168 alpha=15.88 beta=15.88 gamma=15.88
Fractional positions:
La: 0.0000 0.0000 0.0000
W: 0.2415 0.2415 0.2415
W: 0.5002 0.5002 0.5002
Au: 0.7589 0.7589 0.7589

Output
**Crystal system**: trigonal

--- b ---
Here is an optimized crystal structure of LaW2Au from Alexandria. Energies are from PBE.

Unit cell a=10.6939 b=10.6939 c=10.6939 alpha=157.50 beta=157.50 gamma=32.03
Fractional positions:
La: 0.0000 0.0000 0.0000
La: 0.7500 0.2500 0.5000
W: 0.1969 0.6250 0.0719
W: 0.3750 0.4469 0.5719
W: 0.5531 0.1250 0.9281
W: 0.8750 0.8031 0.4281
Au: 0.2500 0.7500 0.5000
Au: 0.5000 0.5000 0.0000

Output
**Crystal system**: tetragonal

Stability summary - winner: a; margin: 17.5 kJ/mol of atoms.